Entry from Alexandria: a geometry-optimized LaVP2 structure (PBE-GGA).

Fermi-level density of states ... 0.9 states/eV/cell
Symmetry ... Fm-3m, No. 225
ΔE to the lowest computed polymorph ... 211.5 meV/atom
Formation enthalpy at 0 K ... -2.18 eV per formula unit

a = 4.753 Å, b = 4.753 Å, c = 4.753 Å
α = 60.00°, β = 60.00°, γ = 60.00°
Fractional coordinates of all 4 atoms:
La: 0.000 0.000 0.000
V: 0.500 0.500 0.500
P: 0.250 0.250 0.250
P: 0.750 0.750 0.750

---

Entry from Alexandria: a geometry-optimized LaVP structure (PBE-GGA).

Fermi-level density of states ... 6.7 states/eV/cell
Symmetry ... R-3m, No. 166
Formation enthalpy at 0 K ... -2.19 eV per formula unit

a = 10.752 Å, b = 10.752 Å, c = 10.752 Å
α = 20.82°, β = 20.82°, γ = 20.82°
Fractional coordinates of all 6 atoms:
La: 0.111 0.111 0.111
La: 0.889 0.889 0.889
V: 0.358 0.358 0.358
V: 0.642 0.642 0.642
P: 0.282 0.282 0.282
P: 0.718 0.718 0.718

---

Entry from Alexandria: a geometry-optimized LaVP2 structure (PBE-GGA).

Fermi-level density of states ... 5.1 states/eV/cell
Symmetry ... I-42d, No. 122
ΔE to the lowest computed polymorph ... 102.1 meV/atom
Formation enthalpy at 0 K ... -2.62 eV per formula unit

a = 8.190 Å, b = 8.190 Å, c = 8.190 Å
α = 145.10°, β = 145.10°, γ = 50.19°
Fractional coordinates of all 8 atoms:
La: 0.000 0.000 0.000
La: 0.750 0.250 0.500
V: 0.250 0.750 0.500
V: 0.500 0.500 0.000
P: 0.374 0.625 0.249
P: 0.375 0.624 0.749
P: 0.376 0.125 0.751
P: 0.875 0.626 0.251

---

Entry from Alexandria: a geometry-optimized LaVP2 structure (PBE-GGA).

Fermi-level density of states ... 2.5 states/eV/cell
Symmetry ... I-4m2, No. 119
ΔE to the lowest computed polymorph ... 0.0 meV/atom
Formation enthalpy at 0 K ... -3.03 eV per formula unit

a = 6.605 Å, b = 6.605 Å, c = 6.605 Å
α = 146.88°, β = 146.88°, γ = 47.55°
Fractional coordinates of all 4 atoms:
La: 0.000 0.000 0.000
V: 0.250 0.750 0.500
P: 0.364 0.364 0.000
P: 0.636 0.636 0.000